1.
Crystalline MgAgC2I at its relaxed geometry, computed with PBE-GGA.

POSCAR file:
```
MgAgC2I
1.0
4.244 0.000 0.000
0.000 4.244 0.000
0.000 0.000 6.434
Mg Ag C I
1 1 2 1
Cartesian
0.000 0.000 0.000 Mg
2.122 2.122 3.217 Ag
0.000 2.122 0.000 C
2.122 0.000 0.000 C
0.000 0.000 3.217 I
```

Raw formation energy = 2015 meV per atom
SG = P4/mmm
E_tot = -14.37 eV/cell


2.
Crystalline CaNiMo2 at its relaxed geometry, computed with PBE-GGA.

POSCAR file:
```
CaNiMo2
1.0
2.634 -4.959 0.000
2.634 4.959 0.000
-0.778 0.000 2.569
Ca Ni Mo
1 1 2
Cartesian
0.000 0.000 0.000 Ca
2.634 0.000 0.000 Ni
0.928 2.480 1.285 Mo
0.928 -2.480 1.285 Mo
```

ΔH_f (0 K) = 13.434 kcal/mol of atoms
SG = C2/m
E_tot = -27.11 eV/cell
Distance to the lowest polymorph of the same formula = 1.03 eV per formula unit


Among the records above, which one has the highest E_tot?
MgAgC2I